# 1
The following is a PBE-GGA calculation of a geometry-optimized AlAuS2 structure, from Alexandria via LeMat-Bulk.

Geometry as POSCAR:
```
AlAuS2
1.0
15.118 0.000 4.137
0.000 3.681 0.000
-4.513 0.000 5.247
Al S Au
4 8 4
direct
0.301 0.658 0.610
0.699 0.342 0.390
0.199 0.158 0.890
0.801 0.842 0.110
0.110 0.638 0.914
0.661 0.508 0.037
0.839 0.008 0.463
0.339 0.492 0.963
0.161 0.992 0.537
0.610 0.862 0.414
0.890 0.362 0.086
0.390 0.138 0.586
0.350 0.888 0.244
0.150 0.388 0.256
0.850 0.612 0.744
0.650 0.112 0.756
```

## Properties
- ΔE_f (raw): -2.2 eV per formula unit
- ρ: 5.30 g cm⁻³

# 2
The following is a PBE-GGA calculation of a geometry-optimized Pm2Y4HoSc2 structure, from Alexandria via LeMat-Bulk.

Geometry as POSCAR:
```
Pm2Y4HoSc2
1.0
3.491 0.000 0.000
-1.745 8.421 0.586
0.000 -2.389 9.310
Sc Ho Pm Y
2 1 2 4
direct
0.333 0.666 0.078
0.667 0.334 0.922
0.000 0.000 0.000
0.159 0.317 0.589
0.841 0.683 0.411
0.512 0.025 0.323
0.488 0.975 0.677
0.825 0.651 0.774
0.175 0.349 0.226
```

## Properties
- Formation energy: 46 meV/atom
- ρ: 5.37 g cm⁻³

# 3
The following is a PBE-GGA calculation of a geometry-optimized KIn2Te structure, from Alexandria via LeMat-Bulk.

Geometry as POSCAR:
```
KIn2Te
1.0
-4.807 5.914 -6.153
-7.282 2.501 -6.055
-7.585 5.413 -3.019
Te K In
1 1 2
direct
0.750 0.750 0.750
0.250 0.250 0.250
0.015 0.015 0.015
0.485 0.485 0.485
```

## Properties
- ΔE_f (raw): -0.8 eV per formula unit
- ρ: 4.50 g cm⁻³

# 4
The following is a PBE-GGA calculation of a geometry-optimized Mn2PtBr structure, from Alexandria via LeMat-Bulk.

Geometry as POSCAR:
```
Mn2PtBr
1.0
-4.457 1.302 -0.096
-3.349 -3.203 -0.305
-2.745 -0.845 3.650
Mn Br Pt
2 1 1
direct
0.000 0.000 0.000
0.250 0.250 0.250
0.500 0.500 0.500
0.750 0.750 0.750
```

## Properties
- ΔE_f (raw): 2.3 eV per formula unit
- ρ: 9.02 g cm⁻³

# 5
The following is a PBE-GGA calculation of a geometry-optimized YZr2PtN structure, from Alexandria via LeMat-Bulk.

Geometry as POSCAR:
```
YZr2PtN
1.0
-2.037 2.172 -3.294
-3.750 0.087 2.376
1.293 4.082 1.892
Zr Pt Y N
2 1 1 1
direct
0.000 0.500 0.000
0.500 0.000 0.000
0.500 0.500 0.500
0.000 0.000 0.500
0.000 0.000 0.000
```

## Properties
- ΔE_f (raw): -5.2 eV per formula unit
- ρ: 8.64 g cm⁻³

# 6
The following is a PBE-GGA calculation of a geometry-optimized SrCo2AgW structure, from Alexandria via LeMat-Bulk.

Geometry as POSCAR:
```
SrCo2AgW
1.0
-2.225 -4.152 1.073
3.445 -2.527 -2.635
2.720 -0.432 3.969
Co Sr W Ag
2 1 1 1
direct
0.500 0.000 0.000
0.000 0.000 0.500
0.500 0.500 0.500
0.000 0.500 0.000
0.000 0.000 0.000
```

## Properties
- Formation energy: 1645 meV/atom
- ρ: 7.05 g cm⁻³

# 7
The following is a PBE-GGA calculation of a geometry-optimized K4ScZn structure, from Alexandria via LeMat-Bulk.

Geometry as POSCAR:
```
K4ScZn
1.0
1.136 -4.565 5.987
-5.706 -1.428 4.835
-3.198 -6.908 0.181
K Sc Zn
4 1 1
direct
0.375 0.875 0.375
0.375 0.375 0.875
0.875 0.375 0.375
0.375 0.375 0.375
0.750 0.750 0.750
0.000 0.000 0.000
```

## Properties
- Formation energy: 670 meV/atom
- ρ: 1.42 g cm⁻³

# 8
The following is a PBE-GGA calculation of a geometry-optimized Cu4GeAu7 structure, from Alexandria via LeMat-Bulk.

Geometry as POSCAR:
```
Cu4GeAu7
1.0
4.782 0.000 0.000
2.391 7.729 -0.016
2.391 0.309 5.766
Ge Au Cu
1 7 4
direct
0.000 0.000 0.000
0.787 0.884 0.541
0.078 0.666 0.178
0.922 0.334 0.822
0.500 0.000 0.000
0.213 0.116 0.459
0.357 0.565 0.721
0.643 0.435 0.279
0.432 0.776 0.360
0.710 0.664 0.916
0.568 0.224 0.640
0.290 0.336 0.084
```

## Properties
- Formation energy: 119 meV/atom
- ρ: 13.29 g cm⁻³

# 9
The following is a PBE-GGA calculation of a geometry-optimized KZnCo structure, from Alexandria via LeMat-Bulk.

Geometry as POSCAR:
```
KZnCo
1.0
-2.187 4.637 3.782
-2.028 0.339 6.030
4.218 -1.334 -4.585
Zn Co K
1 1 1
direct
0.603 0.603 0.000
0.064 0.064 0.000
0.333 0.333 0.000
```

## Properties
- Formation energy: 456 meV/atom
- ρ: 4.15 g cm⁻³

# 10
The following is a PBE-GGA calculation of a geometry-optimized Rb3U3PaSe8 structure, from Alexandria via LeMat-Bulk.

Geometry as POSCAR:
```
Rb3U3PaSe8
1.0
8.353 0.000 0.000
-4.176 7.234 -0.030
0.000 -4.789 8.271
Se Rb Pa U
8 3 1 3
direct
0.735 0.966 0.695
0.231 0.461 0.696
0.231 0.966 0.695
0.733 0.466 0.699
0.769 0.539 0.304
0.267 0.534 0.301
0.769 0.034 0.305
0.265 0.034 0.305
0.000 0.500 0.000
0.000 0.000 0.000
0.500 0.500 0.000
0.000 0.000 0.500
0.000 0.500 0.500
0.500 0.500 0.500
0.500 0.000 0.500
```

## Properties
- ΔE_f (raw): -19.1 eV per formula unit
- ρ: 6.11 g cm⁻³

# 11
The following is a PBE-GGA calculation of a geometry-optimized B3PdCl structure, from Alexandria via LeMat-Bulk.

Geometry as POSCAR:
```
B3PdCl
1.0
3.842 0.000 0.000
0.000 3.842 0.000
0.000 0.000 3.842
B Pd Cl
3 1 1
direct
0.000 0.500 0.000
0.500 0.000 0.000
0.000 0.000 0.500
0.500 0.500 0.500
0.000 0.000 0.000
```

## Properties
- ΔE_f (raw): 10.8 eV per formula unit
- ρ: 5.10 g cm⁻³

# 12
The following is a PBE-GGA calculation of a geometry-optimized LiTiTc3 structure, from Alexandria via LeMat-Bulk.

Geometry as POSCAR:
```
LiTiTc3
1.0
-0.535 -0.705 -4.469
-3.996 -2.038 0.800
-2.123 4.014 -0.379
Tc Li Ti
3 1 1
direct
0.500 0.000 0.000
0.000 0.000 0.500
0.000 0.500 0.000
0.500 0.500 0.500
0.000 0.000 0.000
```

## Properties
- Formation energy: 1340 meV/atom
- ρ: 6.12 g cm⁻³

Density of states at the Fermi level in states/eV per atom, matching the order above: 0.000 1.608 0.419 0.926 0.806 2.092 1.374 0.360 1.398 1.076 0.320 1.459